No. 1
Entry from the Alexandria database: a crystal of InIrI2N relaxed with PBEsol (meta-GGA SCAN).

a = 3.8874 Å, b = 5.7571 Å, c = 5.7571 Å
α = 90.00°, β = 90.00°, γ = 90.00°
With the nearest neighbours (Å) after each atom.
Fractional positions:
N: 0.5000 0.0000 0.0000  2 In 1.94
I: 0.0000 0.0000 0.5000  2 In 2.88
I: 0.0000 0.5000 0.0000  2 In 2.88
Ir: 0.5000 0.5000 0.5000  8 I 3.47, 2 Ir 3.89
In: 0.0000 0.0000 0.0000  2 N 1.94

Properties
Crystal system: tetragonal
Energy relative to the elements, uncorrected: 1586.4 meV per atom
Total DFT energy (no corrections): -179.3 eV per cell
Density: 7.408 Mg/m³



No. 2
Entry from the Alexandria database: a crystal of LiYBi2 relaxed with PBEsol (meta-GGA SCAN).

a = 5.3133 Å, b = 5.3133 Å, c = 5.3133 Å
α = 60.00°, β = 60.00°, γ = 60.00°
With the nearest neighbours (Å) after each atom.
Fractional positions:
Y: 0.5000 0.5000 0.5000  8 Bi 3.25
Bi: 0.7500 0.7500 0.7500  4 Y 3.25, 4 Li 3.25
Bi: 0.2500 0.2500 0.2500  4 Li 3.25, 4 Y 3.25
Li: 0.0000 0.0000 0.0000  8 Bi 3.25

Properties
Crystal system: cubic
Energy relative to the elements: -0.55 eV per atom
Total DFT energy (no corrections): -189.6 eV per cell
Density: 8.044 Mg/m³